Density functional theory data (PBE-GGA) for crystalline ErScAu4 at its relaxed geometry.

Values from the calculation:
**Uncorrected energy**: -4.84 eV per atom
**Formation enthalpy at 0 K**: -5.0 eV per formula unit
**Energy relative to the lowest polymorph listed for this composition**: 0.000 eV/atom
**M_tot**: 0.00 μB/f.u.
**Crystal system**: monoclinic

```
data_ErScAu4
_cell_length_a 9.644
_cell_length_b 3.660
_cell_length_c 7.265
_cell_angle_alpha 90.00
_cell_angle_beta 112.11
_cell_angle_gamma 90.00
_space_group_name_H-M_alt 'C 1 2/m 1'
_space_group_IT_number 12
loop_
_space_group_symop_operation_xyz
'x,y,z'
'-x,-y,-z'
'-x,y,-z'
'x,-y,z'
'x+1/2,y+1/2,z'
'-x+1/2,-y+1/2,-z'
'-x+1/2,y+1/2,-z'
'x+1/2,-y+1/2,z'
loop_
_atom_site_label
_atom_site_type_symbol
_atom_site_fract_x
_atom_site_fract_y
_atom_site_fract_z
_atom_site_occupancy
Er1 Er 0.000 0.000 0.000 1
Sc1 Sc 0.000 0.000 0.500 1
Au1 Au 0.163 0.500 0.822 1
Au2 Au 0.164 0.500 0.340 1
```